## PrEr5Tm2 (PBE)

Data for PrEr5Tm2 after structural relaxation.

Lattice parameters (Å, degrees): 5.5949 8.5650 11.3722 90.03 89.99 109.08
Positions (direct):
Er 0.6032 0.2070 0.2500
Er 0.0434 0.0872 0.1121
Er 0.3968 0.7930 0.7500
Er 0.5867 0.1738 0.9223
Er 0.4130 0.8259 0.4230
Er 0.5870 0.1741 0.5770
Er 0.9566 0.9128 0.8879
Er 0.0428 0.0858 0.3874
Er 0.9572 0.9142 0.6126
Er 0.4133 0.8262 0.0777
Tm 0.2127 0.4255 0.5796
Tm 0.7873 0.5745 0.4204
Tm 0.7871 0.5741 0.0797
Tm 0.2129 0.4259 0.9203
Pr 0.2270 0.4542 0.2502
Pr 0.7730 0.5458 0.7498

Results
Final energy = -4.416 eV per atom
D(E_F) = 24.62 states/eV per cell
Spin magnetization = 0.0 μB/f.u.
Space group = No. 12
Formation energy from the elements = 152 meV/atom